[1]
The following is a DFT calculation (PBE) of a relaxed KMo2Pt crystal.

Summary:
Offset from the most stable computed form: 335 meV per atom
Formation energy: 0.74 eV per atom
Final energy: -6.461 eV per atom
Total magnetization: 0.0000 μB/atom
SG: No. 166

Lattice parameters (Å, degrees): 11.052 11.052 11.052 14.67 14.67 14.67
Fractional positions:
K 0.750 0.750 0.750
Mo 0.986 0.986 0.986
Mo 0.514 0.514 0.514
Pt 0.250 0.250 0.250



[2]
The following is a DFT calculation (PBE) of a relaxed Ho4Zn3Ag crystal.

Summary:
Offset from the most stable computed form: 57 meV per atom
Formation energy: -0.29 eV per atom
Final energy: -3.410 eV per atom
Total magnetization: 0.0000 μB/atom
SG: No. 25

Lattice parameters (Å, degrees): 3.630 4.559 11.280 90.00 90.00 90.00
Fractional positions:
Ho 0.500 0.500 0.352
Ho 0.000 0.500 0.846
Ho 0.000 0.000 0.153
Ho 0.500 0.000 0.652
Zn 0.000 0.500 0.572
Zn 0.000 0.000 0.429
Zn 0.500 0.000 0.924
Ag 0.500 0.500 0.072